This record from the Alexandria database describes an optimized crystal structure of Li4Mn2Cu3O10. The functional is GGA+U.

a = 5.0433 Å, b = 5.3382 Å, c = 7.6013 Å
α = 105.19°, β = 102.51°, γ = 104.76°
Sites, in units of the cell vectors:
Li: 0.1046 0.2067 0.2247
Li: 0.2776 0.5940 0.6007
Li: 0.7224 0.4060 0.3993
Li: 0.8954 0.7933 0.7753
Mn: 0.4014 0.8200 0.3088
Mn: 0.5986 0.1800 0.6912
Cu: 0.1941 0.3815 0.8941
Cu: 0.5000 0.0000 0.0000
Cu: 0.8059 0.6185 0.1059
O: 0.0535 0.5950 0.3247
O: 0.1584 0.8287 0.0742
O: 0.2865 0.9888 0.7667
O: 0.3861 0.1731 0.4526
O: 0.4451 0.4678 0.1577
O: 0.5549 0.5322 0.8423
O: 0.6139 0.8269 0.5474
O: 0.7135 0.0112 0.2333
O: 0.8416 0.1713 0.9258
O: 0.9465 0.4050 0.6753

Calculated values
- Total moment: 0.26 μB/atom
- E_tot: -108.198 eV/cell
- D(E_F): 0.346 states/eV per atom